No. 1
Crystalline ZnAgBi2 at its relaxed geometry. Source: the Alexandria database, functional PBE.

```
ZnAgBi2
1.0
4.1440 0.0000 0.0000
0.0000 4.8788 0.0000
0.0000 0.0000 4.8788
Zn Bi Ag
1 2 1
Direct
0.5000 0.0000 0.0000
0.0000 0.5000 0.0000
0.0000 0.0000 0.5000
0.5000 0.5000 0.5000
```

Calculated values
Its space group is P4/mmm (123). For the calculated formation energy, the calculation gives 0.1858 eV/atom.



No. 2
Crystalline VSiS at its relaxed geometry. Source: the Alexandria database, functional PBE.

```
VSiS
1.0
-0.3844 3.1395 0.0885
-2.2842 -1.9047 1.0803
2.1793 0.1305 4.8382
Si V S
1 1 1
Direct
0.0000 0.0000 0.8503
0.6667 0.3333 0.1637
0.0000 0.0000 0.4348
```

Calculated values
Its space group is P3m1 (156). The value obtained for the energy relative to the elements, uncorrected is -402 meV/atom.



No. 3
Crystalline FeTe at its relaxed geometry. Source: the Alexandria database, functional PBE.

```
FeTe
1.0
-10.6444 0.0945 -0.2309
0.0417 -9.0420 -5.6218
-0.0865 -1.9764 3.1782
Te Fe
8 8
Direct
0.6176 0.7459 0.5000
0.7075 0.0508 0.0000
0.9492 0.7075 0.0000
0.3824 0.2541 0.5000
0.0508 0.2925 0.0000
0.2925 0.9492 0.0000
0.7459 0.3824 0.5000
0.2541 0.6176 0.5000
0.8162 0.6104 0.5000
0.3896 0.8162 0.5000
0.6104 0.1838 0.5000
0.5293 0.8849 0.0000
0.1838 0.3896 0.5000
0.4707 0.1151 0.0000
0.1151 0.5293 0.0000
0.8849 0.4707 0.0000
```

Calculated values
Its space group is P4/m (83). The value obtained for the energy relative to the elements, uncorrected is 104 meV/atom.



No. 4
Crystalline Ta2CdFeP at its relaxed geometry. Source: the Alexandria database, functional PBE.

```
Ta2CdFeP
1.0
-1.2368 -4.2668 2.2382
4.2556 -1.4281 -0.3709
1.0610 2.0128 4.4235
P Ta Cd Fe
1 2 1 1
Direct
0.5000 0.5000 0.5000
0.5000 0.0000 0.0000
0.0000 0.0000 0.5000
0.0000 0.0000 0.0000
0.0000 0.5000 0.0000
```

Calculated values
Its space group is P4/mmm (123). For the calculated formation energy, the calculation gives 2.3530 eV/atom.



No. 5
Crystalline PRuAuCl2 at its relaxed geometry. Source: the Alexandria database, functional PBE.

```
PRuAuCl2
1.0
-2.8234 -2.4014 -3.4108
-2.2762 -2.5645 3.6897
-3.3437 3.4527 0.3370
Au Cl P Ru
1 2 1 1
Direct
0.0000 0.0000 0.0000
0.0000 0.5000 0.0000
0.5000 0.0000 0.0000
0.0000 0.0000 0.5000
0.5000 0.5000 0.5000
```

Calculated values
Its space group is P4/mmm (123). The value obtained for the energy relative to the elements, uncorrected is 1157 meV/atom. The calculation puts the offset from the most stable computed form at 68.9 kJ/mol of atoms.



No. 6
Crystalline LiTmGa4Rh2 at its relaxed geometry. Source: the Alexandria database, functional PBE.

```
LiTmGa4Rh2
1.0
-1.5095 -3.6289 -1.9925
2.0480 -1.5648 -3.5742
4.5657 -5.9498 2.5045
Ga Li Tm Rh
4 1 1 2
Direct
0.1315 0.1315 0.6054
0.8685 0.8685 0.3946
0.6115 0.6115 0.1656
0.3885 0.3885 0.8344
0.5000 0.5000 0.5000
0.0000 0.0000 0.0000
0.7515 0.7515 0.7455
0.2485 0.2485 0.2545
```

Calculated values
Its space group is R-3m (166). For the calculated formation energy, the calculation gives -0.6067 eV/atom.



No. 7
Crystalline CaTcCl4 at its relaxed geometry. Source: the Alexandria database, functional PBE.

```
CaTcCl4
1.0
0.0000 4.2093 4.2093
4.2093 0.0000 4.2093
4.2093 4.2093 0.0000
Cl Ca Tc
4 1 1
Direct
0.3753 0.3753 0.3753
0.3753 0.8741 0.3753
0.8741 0.3753 0.3753
0.3753 0.3753 0.8741
0.0000 0.0000 0.0000
0.7500 0.7500 0.7500
```

Calculated values
Its space group is F-43m (216). The value obtained for the energy relative to the elements, uncorrected is 316 meV/atom.



No. 8
Crystalline U4Sb6Ru7 at its relaxed geometry. Source: the Alexandria database, functional PBE.

```
U4Sb6Ru7
1.0
-3.3103 6.6864 -1.2500
-4.8605 -4.5998 3.5280
6.1277 0.9892 4.3246
Ru Sb U
7 6 4
Direct
0.2500 0.5000 0.7500
0.5000 0.2500 0.7500
0.5000 0.7500 0.2500
0.2500 0.7500 0.5000
0.7500 0.5000 0.2500
0.0000 0.0000 0.0000
0.7500 0.2500 0.5000
0.6893 0.0000 0.6893
0.0000 0.3107 0.3107
0.0000 0.6893 0.6893
0.3107 0.3107 0.0000
0.3107 0.0000 0.3107
0.6893 0.6893 0.0000
0.0000 0.5000 0.0000
0.5000 0.5000 0.5000
0.0000 0.0000 0.5000
0.5000 0.0000 0.0000
```

Calculated values
Its space group is Im-3m (229). The value obtained for the energy relative to the elements, uncorrected is -313 meV/atom.



No. 9
Crystalline CoOsAu2 at its relaxed geometry. Source: the Alexandria database, functional PBE.

```
CoOsAu2
1.0
-0.6958 4.7934 5.2928
-5.9421 -3.3377 2.2417
-1.8631 -0.8039 5.3458
Co Au Os
2 4 2
Direct
0.2500 0.7500 0.5000
0.5000 0.5000 0.0000
0.6095 0.1250 0.2500
0.8750 0.8595 0.7500
0.1405 0.6250 0.2500
0.3750 0.3905 0.7500
0.7500 0.2500 0.5000
0.0000 0.0000 0.0000
```

Calculated values
Its space group is I-42d (122). The calculation puts the offset from the most stable computed form at 70.7 kJ/mol of atoms. For the calculated formation energy, the calculation gives 1.0039 eV/atom.



No. 10
Crystalline Fe2TcRu at its relaxed geometry. Source: the Alexandria database, functional PBE.

```
Fe2TcRu
1.0
-2.5748 2.4156 -2.7780
-2.2555 -2.7880 -2.7059
0.4635 0.0904 4.4676
Ru Fe Tc
1 2 1
Direct
0.2500 0.7500 0.5000
0.0000 0.0000 0.0000
0.5000 0.5000 0.0000
0.7500 0.2500 0.5000
```

Calculated values
Its space group is I4/mmm (139). The calculation puts the offset from the most stable computed form at 4.3 kJ/mol of atoms. For the calculated formation energy, the calculation gives 0.1393 eV/atom.



No. 11
Crystalline LaPr2ErSb4 at its relaxed geometry. Source: the Alexandria database, functional PBE.

```
LaPr2ErSb4
1.0
-2.5430 -0.0662 -3.7522
-5.1848 -4.6594 3.5962
-5.4072 4.3912 3.5872
Sb La Pr Er
4 1 2 1
Direct
0.0000 0.7472 0.7440
0.5000 0.7418 0.2596
0.0000 0.2528 0.2560
0.5000 0.2582 0.7404
0.5000 0.5000 0.0000
0.0000 0.0000 0.0000
0.5000 0.0000 0.5000
0.0000 0.5000 0.5000
```

Calculated values
Its space group is P2/m (10). The value obtained for the energy relative to the elements, uncorrected is -1176 meV/atom.



No. 12
Crystalline CaEuHoMg at its relaxed geometry. Source: the Alexandria database, functional PBE.

```
CaEuHoMg
1.0
-2.4779 -0.1548 5.1328
0.8325 -4.4750 3.4338
3.1617 0.5702 4.7104
Ho Mg Eu Ca
1 1 1 1
Direct
0.5000 0.5000 0.5000
0.7500 0.7500 0.7500
0.2500 0.2500 0.2500
0.0000 0.0000 0.0000
```

Calculated values
Its space group is F-43m (216). For the calculated formation energy, the calculation gives 0.0876 eV/atom.



no.,total DFT energy (no corrections) (eV per cell)
1,-11.14
2,-19.87
3,-91.17
4,-26.73
5,-15.87
6,-38.05
7,-17.86
8,-140.14
9,-41.75
10,-36.01
11,-44.95
12,-18.10